# 1
# SrY4HoS8 | Alexandria via LeMat-Bulk | PBE | relaxed
data_SrY4HoS8
_chemical_formula_sum 'Sr1 Y4 Ho1 S8'
_symmetry_space_group_name_H-M 'P 1'
_symmetry_Int_Tables_number 1
_symmetry_space_group_name_Hall 'P 1'
_cell_length_a 8.159
_cell_length_b 8.159
_cell_length_c 8.159
_cell_angle_alpha 60.09
_cell_angle_beta 60.09
_cell_angle_gamma 60.09
loop_
_atom_site_label
_atom_site_fract_x
_atom_site_fract_y
_atom_site_fract_z
Sr1 0.000 0.000 0.000
Y1 0.119 0.627 0.627
Y2 0.250 0.250 0.250
Y3 0.627 0.119 0.627
Y4 0.627 0.627 0.119
Ho1 0.627 0.627 0.627
S1 0.382 0.382 0.382
S2 0.384 0.384 0.851
S3 0.384 0.851 0.384
S4 0.417 0.860 0.860
S5 0.851 0.384 0.384
S6 0.860 0.417 0.860
S7 0.860 0.860 0.417
S8 0.861 0.861 0.861
# formation energy from raw total energies	-1999.5	meV per atom
# final energy	-6.652	eV/atom
# ρ	3.7	g cm⁻³

# 2
# Sr2YHoS4 | Alexandria via LeMat-Bulk | PBE | relaxed
data_Sr2YHoS4
_chemical_formula_sum 'Sr2 Y1 Ho1 S4'
_symmetry_space_group_name_H-M 'P 1'
_symmetry_Int_Tables_number 1
_symmetry_space_group_name_Hall 'P 1'
_cell_length_a 6.978
_cell_length_b 4.035
_cell_length_c 7.161
_cell_angle_alpha 90.00
_cell_angle_beta 109.00
_cell_angle_gamma 90.00
loop_
_atom_site_label
_atom_site_fract_x
_atom_site_fract_y
_atom_site_fract_z
Sr1 0.000 0.000 0.000
Sr2 0.500 0.500 0.000
Y1 0.000 0.500 0.500
Ho1 0.500 0.000 0.500
S1 0.245 0.000 0.729
S2 0.259 0.500 0.272
S3 0.741 0.500 0.728
S4 0.755 0.000 0.271
# formation energy from raw total energies	-2036.2	meV per atom
# final energy	-5.901	eV/atom
# ρ	4.9	g cm⁻³